#w
This record from Alexandria describes a crystal of Tl2CoRe relaxed with PBEsol. The functional is meta-GGA SCAN.

Results
density of states at the Fermi level: 1.89 states/eV/f.u.
calculated density: 15.6 g/cm3

a = 2.9706 Å, b = 2.9706 Å, c = 8.9541 Å
α = 90.00°, β = 90.00°, γ = 118.06°
With the nearest neighbours (Å) after each atom.
Fractional coordinates of all 4 atoms:
Re: 0.5000 0.5000 0.0000  4 Tl 2.83, 6 Re 2.97-3.06
Tl: 0.0000 0.0000 0.2659  2 Co 2.59, 2 Re 2.83
Tl: 0.0000 0.0000 0.7341  2 Co 2.59, 2 Re 2.83
Co: 0.5000 0.5000 0.5000  4 Tl 2.59

=====

#x
This record from Alexandria describes a crystal of Tl2CoRe relaxed with PBEsol. The functional is meta-GGA SCAN.

Results
density of states at the Fermi level: 3.03 states/eV/f.u.
calculated density: 15.6 g/cm3

a = 3.9619 Å, b = 3.9619 Å, c = 5.2445 Å
α = 112.19°, β = 112.19°, γ = 90.00°
With the nearest neighbours (Å) after each atom.
Fractional coordinates of all 4 atoms:
Re: 0.2500 0.7500 0.5000  8 Tl 2.80-2.97, 4 Co 2.97
Tl: 0.0000 0.0000 0.0000  4 Co 2.80, 4 Tl 2.97, 4 Re 2.97
Tl: 0.7500 0.2500 0.5000  4 Re 2.80, 4 Tl 2.97, 4 Co 2.97
Co: 0.5000 0.5000 0.0000  8 Tl 2.80-2.97, 4 Re 2.97

=====

Which of them is the least stable? Correct choice: #x.

=====

#w
This record from Alexandria describes a crystal of Co2ReW relaxed with PBEsol. The functional is meta-GGA SCAN.

Results
density of states at the Fermi level: 1.94 states/eV/f.u.
calculated density: 16.3 g/cm3

a = 2.6168 Å, b = 4.1911 Å, c = 4.5231 Å
α = 90.00°, β = 90.00°, γ = 90.00°
With the nearest neighbours (Å) after each atom.
Fractional coordinates of all 4 atoms:
Re: 0.5000 0.0000 0.5580  8 Co 2.53-2.69, 2 Re 2.62, 2 W 2.66
Co: 0.0000 0.0000 0.0372  4 Re 2.53-2.69, 4 Co 2.57-2.62, 4 W 2.57
Co: 0.0000 0.5000 0.7074  4 Re 2.56, 4 Co 2.57-2.62, 4 W 2.57-2.65
W: 0.5000 0.5000 0.1974  8 Co 2.57-2.65, 2 W 2.62, 2 Re 2.66

=====

#x
This record from Alexandria describes a crystal of Co2ReW relaxed with PBEsol. The functional is meta-GGA SCAN.

Results
density of states at the Fermi level: 3.08 states/eV/f.u.
calculated density: 16.2 g/cm3

a = 3.6913 Å, b = 3.6913 Å, c = 4.4974 Å
α = 114.23°, β = 114.23°, γ = 90.00°
With the nearest neighbours (Å) after each atom.
Fractional coordinates of all 4 atoms:
Re: 0.0000 0.0000 0.0000  8 Co 2.60, 4 W 2.61
Co: 0.7500 0.2500 0.5000  4 W 2.60, 4 Re 2.60, 4 Co 2.61
Co: 0.2500 0.7500 0.5000  4 W 2.60, 4 Re 2.60, 4 Co 2.61
W: 0.5000 0.5000 0.0000  8 Co 2.60, 4 Re 2.61

=====

Which of them is the least stable? Correct choice: #x.

=====

#w
This record from Alexandria describes a crystal of YCoRe2 relaxed with PBEsol. The functional is meta-GGA SCAN.

Results
density of states at the Fermi level: 2.94 states/eV/f.u.
calculated density: 13.4 g/cm3

a = 3.0132 Å, b = 4.6221 Å, c = 4.6984 Å
α = 90.00°, β = 90.00°, γ = 98.61°
With the nearest neighbours (Å) after each atom.
Fractional coordinates of all 4 atoms:
Co: 0.5000 0.0000 0.5000  2 Y 2.56, 4 Re 2.66
Re: 0.3259 0.2310 0.0000  3 Re 2.52-2.68, 2 Co 2.66
Re: 0.6741 0.7690 0.0000  3 Re 2.52-2.68, 2 Co 2.66
Y: 0.0000 0.5000 0.5000  2 Co 2.56

=====

#x
This record from Alexandria describes a crystal of YCoRe2 relaxed with PBEsol. The functional is meta-GGA SCAN.

Results
density of states at the Fermi level: 3.44 states/eV/f.u.
calculated density: 13.4 g/cm3

a = 3.1668 Å, b = 4.7024 Å, c = 5.1686 Å
α = 117.06°, β = 107.84°, γ = 90.00°
With the nearest neighbours (Å) after each atom.
Fractional coordinates of all 4 atoms:
Co: 0.2753 0.7753 0.5505  2 Re 2.48
Re: 0.9959 0.9959 0.9917  2 Co 2.48, 2 Re 2.53
Re: 0.7234 0.2234 0.4469  2 Re 2.53
Y: 0.5054 0.5054 0.0109  4 Co 2.82-3.08, 8 Re 2.84-3.01

=====

Which of them is the least stable? Correct choice: #x.

=====

#w
This record from Alexandria describes a crystal of Co2Rh3 relaxed with PBEsol. The functional is meta-GGA SCAN.

Results
density of states at the Fermi level: 4.71 states/eV/f.u.
calculated density: 11.3 g/cm3

a = 2.6045 Å, b = 4.1734 Å, c = 6.2673 Å
α = 109.45°, β = 101.99°, γ = 90.00°
With the nearest neighbours (Å) after each atom.
Fractional coordinates of all 5 atoms:
Co: 0.5963 0.5963 0.1927  1 Co 2.22, 2 Rh 2.46
Co: 0.4037 0.4037 0.8073  1 Co 2.22, 2 Rh 2.46
Rh: 0.0000 0.0000 0.0000  6 Rh 2.60-2.74, 8 Co 2.70
Rh: 0.2909 0.7909 0.5817  4 Co 2.46-2.59, 8 Rh 2.60-2.74
Rh: 0.7091 0.2091 0.4183  4 Co 2.46-2.59, 8 Rh 2.60-2.74

=====

#x
This record from Alexandria describes a crystal of Co2Rh3 relaxed with PBEsol. The functional is meta-GGA SCAN.

Results
density of states at the Fermi level: 5.54 states/eV/f.u.
calculated density: 11.5 g/cm3

a = 2.6266 Å, b = 4.5100 Å, c = 5.6863 Å
α = 75.82°, β = 76.65°, γ = 73.07°
With the nearest neighbours (Å) after each atom.
Fractional coordinates of all 5 atoms:
Rh: 0.8084 0.0978 0.2854  5 Co 2.50-2.58, 7 Rh 2.63-2.70
Rh: 0.0000 0.5000 0.5000  4 Co 2.59, 8 Rh 2.63
Rh: 0.1916 0.9022 0.7146  5 Co 2.50-2.58, 7 Rh 2.63-2.70
Co: 0.3931 0.3089 0.9049  5 Co 2.49-2.67, 7 Rh 2.50-2.59
Co: 0.6069 0.6911 0.0951  5 Co 2.49-2.67, 7 Rh 2.50-2.59

=====

Which of them is the least stable? Correct choice: #w.

=====

#w
This record from Alexandria describes a crystal of Co2Rh3 relaxed with PBEsol. The functional is meta-GGA SCAN.

Results
density of states at the Fermi level: 5.97 states/eV/f.u.
calculated density: 11.1 g/cm3

a = 4.1802 Å, b = 4.1802 Å, c = 4.8553 Å
α = 64.50°, β = 64.50°, γ = 60.00°
With the nearest neighbours (Å) after each atom.
Fractional coordinates of all 5 atoms:
Co: 0.8043 0.8043 0.5870  5 Rh 2.47-2.58, 3 Co 2.52
Co: 0.1957 0.1957 0.4130  5 Rh 2.47-2.58, 3 Co 2.52
Rh: 0.0000 0.0000 0.0000  2 Co 2.47, 6 Rh 2.55
Rh: 0.3983 0.3983 0.8051  4 Rh 2.55-2.57, 4 Co 2.56-2.58
Rh: 0.6017 0.6017 0.1949  4 Rh 2.55-2.57, 4 Co 2.56-2.58

=====

#x
This record from Alexandria describes a crystal of Co2Rh3 relaxed with PBEsol. The functional is meta-GGA SCAN.

Results
density of states at the Fermi level: 5.94 states/eV/f.u.
calculated density: 11.5 g/cm3

a = 2.6212 Å, b = 2.6212 Å, c = 9.1261 Å
α = 98.26°, β = 98.26°, γ = 90.00°
With the nearest neighbours (Å) after each atom.
Fractional coordinates of all 5 atoms:
Rh: 0.5000 0.5000 0.0000  8 Co 2.56, 4 Rh 2.62
Rh: 0.3041 0.3041 0.6082  4 Co 2.54, 8 Rh 2.62-2.68
Rh: 0.6959 0.6959 0.3918  4 Co 2.54, 8 Rh 2.62-2.68
Co: 0.0986 0.0986 0.1973  8 Rh 2.54-2.56, 4 Co 2.62
Co: 0.9014 0.9014 0.8027  8 Rh 2.54-2.56, 4 Co 2.62

=====

#y
This record from Alexandria describes a crystal of Co2Rh3 relaxed with PBEsol. The functional is meta-GGA SCAN.

Results
density of states at the Fermi level: 5.38 states/eV/f.u.
calculated density: 11.4 g/cm3

a = 2.6176 Å, b = 2.6176 Å, c = 10.5550 Å
α = 82.88°, β = 82.88°, γ = 60.00°
With the nearest neighbours (Å) after each atom.
Fractional coordinates of all 5 atoms:
Rh: 0.0000 0.0000 0.0000  6 Co 2.56, 6 Rh 2.62
Rh: 0.2022 0.2022 0.3933  3 Co 2.54, 9 Rh 2.62-2.69
Rh: 0.7978 0.7978 0.6067  3 Co 2.54, 9 Rh 2.62-2.69
Co: 0.3993 0.3993 0.8021  6 Rh 2.54-2.56, 6 Co 2.62
Co: 0.6007 0.6007 0.1979  6 Rh 2.54-2.56, 6 Co 2.62

=====

Which of them is the least stable? Correct choice: #w.

=====

#w
This record from Alexandria describes a crystal of Co2Rh3 relaxed with PBEsol. The functional is meta-GGA SCAN.

Results
density of states at the Fermi level: 5.69 states/eV/f.u.
calculated density: 11.1 g/cm3

a = 2.5915 Å, b = 2.5915 Å, c = 10.8578 Å
α = 93.60°, β = 93.60°, γ = 118.26°
With the nearest neighbours (Å) after each atom.
Fractional coordinates of all 5 atoms:
Co: 0.5987 0.5987 0.1975  4 Rh 2.49-2.51, 6 Co 2.59-2.66
Co: 0.4013 0.4013 0.8025  4 Rh 2.49-2.51, 6 Co 2.59-2.66
Rh: 0.0000 0.0000 0.0000  4 Co 2.51, 6 Rh 2.59-2.66
Rh: 0.8036 0.8036 0.6071  2 Co 2.49, 8 Rh 2.59-2.66
Rh: 0.1964 0.1964 0.3929  2 Co 2.49, 8 Rh 2.59-2.66

=====

#x
This record from Alexandria describes a crystal of Co2Rh3 relaxed with PBEsol. The functional is meta-GGA SCAN.

Results
density of states at the Fermi level: 5.30 states/eV/f.u.
calculated density: 11.4 g/cm3

a = 2.6004 Å, b = 3.8894 Å, c = 6.4242 Å
α = 107.62°, β = 90.00°, γ = 90.00°
With the nearest neighbours (Å) after each atom.
Fractional coordinates of all 5 atoms:
Rh: 0.0000 0.8874 0.7748  6 Co 2.59-2.61, 7 Rh 2.60-2.76
Rh: 0.5000 0.5000 0.0000  2 Co 2.48, 10 Rh 2.60-2.72
Rh: 0.0000 0.1126 0.2252  6 Co 2.59-2.61, 7 Rh 2.60-2.76
Co: 0.5000 0.7026 0.4052  2 Co 2.27, 1 Rh 2.48
Co: 0.5000 0.2974 0.5948  2 Co 2.27, 1 Rh 2.48

=====

#y
This record from Alexandria describes a crystal of Co2Rh3 relaxed with PBEsol. The functional is meta-GGA SCAN.

Results
density of states at the Fermi level: 5.65 states/eV/f.u.
calculated density: 11.5 g/cm3

a = 2.6157 Å, b = 3.6425 Å, c = 6.8516 Å
α = 105.42°, β = 101.00°, γ = 90.00°
With the nearest neighbours (Å) after each atom.
Fractional coordinates of all 5 atoms:
Rh: 0.1068 0.6068 0.2135  5 Co 2.45-2.57, 6 Rh 2.62-2.63
Rh: 0.5000 0.0000 0.0000  10 Rh 2.62-2.63, 2 Co 2.64
Rh: 0.8932 0.3932 0.7865  5 Co 2.45-2.57, 6 Rh 2.62-2.63
Co: 0.2963 0.7963 0.5926  6 Rh 2.45-2.64, 6 Co 2.54-2.62
Co: 0.7037 0.2037 0.4074  6 Rh 2.45-2.64, 6 Co 2.54-2.62

=====

Which of them is the least stable? Correct choice: #w.